A relaxed structure of LiAg5Pd6. Source: Alexandria via LeMat-Bulk, functional PBE.

The structure in extended XYZ format:
```
12
Lattice="4.515 -5.984 0.000 4.515 5.984 0.000 -1.757 0.000 3.588" Properties=species:S:1:pos:R:3 pbc="T T T"
Li 0.000 0.000 0.000
Ag 3.636 4.027 1.794
Ag 4.515 1.998 0.000
Ag 3.636 0.000 1.794
Ag 4.515 -1.998 0.000
Ag 3.636 -4.027 1.794
Pd 1.800 1.979 0.889
Pd 0.906 0.000 2.676
Pd 1.800 -1.979 0.889
Pd 5.472 1.979 2.700
Pd 6.367 0.000 0.912
Pd 5.472 -1.979 2.700
```

Computed properties:
- N(E_F) (states/eV/cell) = 4.72
- space group = C2/m, No. 12
- ΔE_f (meV per atom) = -93